{
  "formula": "K3UV2Se6",
  "functional": "PBE",
  "state": "optimized geometry",
  "lattice": [[6.860, 0.002, -0.002], [-3.427, 5.943, -0.002], [-1.144, -1.982, 7.636]],
  "species": ["K", "K", "K", "U", "V", "V", "Se", "Se", "Se", "Se", "Se", "Se"],
  "fractional_positions": [[0.163, 0.837, 0.500], [0.837, 0.163, 0.500], [0.500, 0.500, 0.500], [0.000, 0.000, 0.000], [0.333, 0.667, 0.000], [0.667, 0.333, 0.000], [0.936, 0.583, 0.808], [0.710, 0.710, 0.191], [0.064, 0.417, 0.192], [0.583, 0.936, 0.808], [0.290, 0.290, 0.809], [0.417, 0.064, 0.192]],
  "formation_energy_uncorrected_mev_per_atom": -1055,
  "total_energy_ev_per_cell": -66.39
}